# Gd2Ho

Crystalline Gd2Ho at its relaxed geometry (PBE, Alexandria).

space-group type: Fd-3m (227)
total magnetization: 14.30 μB per formula unit
theoretical density: 8.0 Mg/m³
energy relative to the lowest polymorph listed for this composition: 166 meV/atom

Lattice parameters (Å, degrees): 6.556 6.556 6.556 60.00 60.00 60.00
Positions (direct):
Gd1 0.000 0.000 0.000
Gd2 0.000 0.000 0.500
Gd3 0.000 0.500 0.000
Gd4 0.500 0.000 0.000
Ho1 0.375 0.375 0.375
Ho2 0.625 0.625 0.625


# SrMgRe

Crystalline SrMgRe at its relaxed geometry (PBE, Alexandria).

space-group type: F-43m (216)
total magnetization: 2.87 μB per formula unit
theoretical density: 5.4 Mg/m³
energy relative to the lowest polymorph listed for this composition: 1045 meV/atom

Lattice parameters (Å, degrees): 5.068 5.068 5.068 60.00 60.00 60.00
Positions (direct):
Sr1 0.000 0.000 0.000
Mg1 0.750 0.750 0.750
Re1 0.250 0.250 0.250


# Pm5ErTm

Crystalline Pm5ErTm at its relaxed geometry (PBE, Alexandria).

space-group type: C2/c (15)
total magnetization: 0.00 μB per formula unit
theoretical density: 7.4 Mg/m³
E_tot: -4.53 eV/atom

Lattice parameters (Å, degrees): 6.328 6.328 13.297 93.50 93.50 63.08
Positions (direct):
Pm1 0.151 0.183 0.579
Pm2 0.183 0.151 0.079
Pm3 0.227 0.265 0.842
Pm4 0.249 0.751 0.750
Pm5 0.265 0.227 0.342
Pm6 0.735 0.773 0.658
Pm7 0.751 0.249 0.250
Pm8 0.773 0.735 0.158
Pm9 0.817 0.849 0.921
Pm10 0.849 0.817 0.421
Er1 0.277 0.723 0.250
Er2 0.723 0.277 0.750
Tm1 0.500 0.500 0.000
Tm2 0.500 0.500 0.500


Question: Which of these has the lowest total magnetization?
Answer: Pm5ErTm